A plane-wave DFT calculation with PBE-GGA was carried out for a relaxed Mg2BeRe crystal.

Lattice parameters (Å, degrees): 3.3013 4.4124 8.6632 90.00 90.00 90.00
Last column: nearest neighbours and their distance in Å.
Space group Cmm2 (No. 35)
Inequivalent atoms, fractional coordinates:
Mg 0.0000 0.0000 0.0000 (multiplicity 2)  2 Be 2.64, 4 Mg 2.76
Mg 0.0000 0.5000 0.3115 (multiplicity 2)  4 Mg 2.76, 2 Re 2.78
Be 0.0000 0.5000 0.7625 (multiplicity 2)  2 Re 2.35
Re 0.0000 0.0000 0.5697 (multiplicity 2)  2 Be 2.35

Computed properties:
- DFT total energy (eV per atom) = -4.55
- formation energy from the elements (eV per atom) = 0.287

***

A plane-wave DFT calculation with PBE-GGA was carried out for a relaxed Mg4BeRe crystal.

Lattice parameters (Å, degrees): 7.5150 7.5150 7.5150 90.00 90.00 90.00
Last column: nearest neighbours and their distance in Å.
Space group F-43m (No. 216)
Inequivalent atoms, fractional coordinates:
Mg 0.1241 0.1241 0.1241 (multiplicity 16)  6 Mg 2.64-2.68
Be 0.0000 0.0000 0.5000 (multiplicity 4)  12 Mg 3.12, 4 Re 3.25
Re 0.2500 0.2500 0.7500 (multiplicity 4)  12 Mg 3.11, 4 Be 3.25

Computed properties:
- DFT total energy (eV per atom) = -2.89
- formation energy from the elements (eV per atom) = 0.867